{
  "formula": "YReMo4",
  "functional": "GGA-PBE",
  "state": "relaxed",
  "total_energy_ev_per_cell": -60.515,
  "space_group": "F-43m",
  "lattice": [[0.000, 3.763, 3.763], [3.763, 0.000, 3.763], [3.763, 3.763, 0.000]],
  "species": ["Y", "Re", "Mo", "Mo", "Mo", "Mo"],
  "fractional_positions": [[0.000, 0.000, 0.000], [0.250, 0.250, 0.250], [0.126, 0.625, 0.625], [0.625, 0.126, 0.625], [0.625, 0.625, 0.126], [0.625, 0.625, 0.625]]
}